No. 1
A plane-wave DFT calculation with PBE was carried out for a geometry-optimized MnCu5Br12 structure.

Computed properties:
Symmetry: C2/m
Density of states at the Fermi level (states/eV/atom): 0.607
Magnetization (μB/f.u.): 7.286

a b c (Å): 6.4958 6.4958 13.4801
angles (deg): 90.27 90.27 108.82
Closest atoms and distances in Å follow each position.
Atoms (fractional coordinates):
1 Mn 0.0000 0.0000 0.0000  4 Br 2.46
2 Cu 0.5000 0.5000 0.5000  4 Br 2.43
3 Cu 0.8328 0.1672 0.5000  4 Br 2.43
4 Cu 0.1672 0.8328 0.5000  4 Br 2.43
5 Cu 0.3339 0.6661 0.0000  4 Br 2.47-2.48
6 Cu 0.6661 0.3339 0.0000  4 Br 2.47-2.48
7 Br 0.1032 0.1032 0.6104  2 Cu 2.43
8 Br 0.8968 0.8968 0.3896  2 Cu 2.43
9 Br 0.3537 0.3537 0.0985  2 Cu 2.47
10 Br 0.6463 0.6463 0.9015  2 Cu 2.47
11 Br 0.7337 0.0643 0.1148  1 Mn 2.46, 1 Cu 2.48
12 Br 0.9357 0.2663 0.8852  1 Mn 2.46, 1 Cu 2.48
13 Br 0.0643 0.7337 0.1148  1 Mn 2.46, 1 Cu 2.48
14 Br 0.2663 0.9357 0.8852  1 Mn 2.46, 1 Cu 2.48
15 Br 0.5627 0.2298 0.3894  2 Cu 2.43
16 Br 0.2298 0.5627 0.3894  2 Cu 2.43
17 Br 0.7702 0.4373 0.6106  2 Cu 2.43
18 Br 0.4373 0.7702 0.6106  2 Cu 2.43

=====

No. 2
A plane-wave DFT calculation with PBE was carried out for a geometry-optimized Cu2Bi2As structure.

Computed properties:
Symmetry: P4/mbm
Density of states at the Fermi level (states/eV/atom): 0.629
Formation enthalpy at 0 K (eV per atom): 0.228
Magnetization (μB/f.u.): 0.000

a b c (Å): 7.0154 7.0154 4.2796
angles (deg): 90.00 90.00 90.00
Closest atoms and distances in Å follow each position.
Atoms (fractional coordinates):
1 As 0.0000 0.0000 0.0000  4 Cu 2.77
2 As 0.5000 0.5000 0.0000  4 Cu 2.77
3 Bi 0.1752 0.6752 0.5000  6 Cu 2.91-3.03
4 Bi 0.6752 0.8248 0.5000  6 Cu 2.91-3.03
5 Bi 0.8248 0.3248 0.5000  6 Cu 2.91-3.03
6 Bi 0.3248 0.1752 0.5000  6 Cu 2.91-3.03
7 Cu 0.3737 0.8737 0.0000  1 Cu 2.51, 2 As 2.77
8 Cu 0.8737 0.6263 0.0000  1 Cu 2.51, 2 As 2.77
9 Cu 0.6263 0.1263 0.0000  1 Cu 2.51, 2 As 2.77
10 Cu 0.1263 0.3737 0.0000  1 Cu 2.51, 2 As 2.77

=====

No. 3
A plane-wave DFT calculation with PBE was carried out for a geometry-optimized NdYIr2 structure.

Computed properties:
Symmetry: P4/mmm
Density of states at the Fermi level (states/eV/atom): 0.267
Formation enthalpy at 0 K (eV per atom): -0.647
Energy relative to the lowest polymorph listed for this composition (meV per atom): 25
Magnetization (μB/f.u.): 0.000

a b c (Å): 3.6390 4.8372 4.8372
angles (deg): 90.00 90.00 90.00
Closest atoms and distances in Å follow each position.
Atoms (fractional coordinates):
1 Y 0.5000 0.0000 0.0000  8 Ir 3.03
2 Ir 0.0000 0.0000 0.5000  4 Nd 3.03, 4 Y 3.03
3 Ir 0.0000 0.5000 0.0000  4 Y 3.03, 4 Nd 3.03
4 Nd 0.5000 0.5000 0.5000  8 Ir 3.03

=====

Going through the records in order, we get final energy values of -56.28 -38.93 -31.54 eV for the cell shown.